A plane-wave DFT calculation with PBE was carried out for a relaxed structure of CsSrNi.

SG = F-43m
E = -1.6614 eV/atom

Geometry as extended XYZ:
```
3
Lattice="0.141 -0.410 5.339 -4.106 1.797 2.934 -3.221 -3.469 2.506" Properties=species:S:1:pos:R:3 pbc="T T T"
Cs 0.000 0.000 0.000
Ni -1.796 -0.521 2.695
Sr -5.389 -1.562 8.084
```